# K2NiMoF | Alexandria | GGA+U | relaxed
data_K2NiMoF
_space_group_name_H-M_alt 'P 1'
_space_group_IT_number 1
_cell_length_a 6.7961
_cell_length_b 6.7961
_cell_length_c 4.1984
_cell_angle_alpha 90.00
_cell_angle_beta 90.00
_cell_angle_gamma 90.00
loop_
_space_group_symop_operation_xyz
'x,y,z'
loop_
_atom_site_label
_atom_site_type_symbol
_atom_site_fract_x
_atom_site_fract_y
_atom_site_fract_z
K1 K 0.0000 0.5000 0.0000
K2 K 0.5000 0.0000 0.0000
Ni1 Ni 0.0000 0.0000 0.5000
Mo1 Mo 0.5000 0.5000 0.0000
F1 F 0.5000 0.5000 0.5000
# **Space group**: P4/mmm (123)
# **Calculated volume**: 38.78 Å³ per atom
# **Uncorrected energy**: -2.222 eV/atom